Here is a relaxed structure of RbV3Cl from Alexandria via LeMat-Bulk. Energies are from PBE.

Properties
excess energy over the best structure of this formula in the dataset = 0.0 meV/atom
density = 4.67 g cm⁻³
VASP energy = -0.345 Ry/atom
energy relative to the elements, uncorrected = 6.69 eV/f.u.
SG = Pm-3m (221)

Lattice parameters (Å, degrees): 4.601 4.601 4.601 90.00 90.00 90.00
Positions (direct):
Rb: 0.000 0.000 0.000
V: 0.000 0.500 0.500
V: 0.500 0.000 0.500
V: 0.500 0.500 0.000
Cl: 0.500 0.500 0.500